[1]
Here is a relaxed structure of NbSnOs from the Alexandria database. Energies are from PBE.

extended XYZ file:
```
6
Lattice="4.8488 0.0000 -0.0028 0.0000 3.1216 0.0000 -2.2994 0.0000 7.0964" Properties=species:S:1:pos:R:3 pbc="T T T"
Os -1.3158 1.5608 4.3763
Nb -1.5293 0.0000 6.5129
Sn 0.0296 1.5608 1.8927
Nb 2.4364 0.0000 1.9484
Os 0.7644 1.5608 6.7624
Sn 1.0539 0.0000 4.4649
```

Output
Its space group is Pm. Its theoretical density is 12.43 g cm⁻³. The energy is -50.22 eV per cell. As for the crystal system: monoclinic. The calculation puts the formation energy from the elements at 6 kJ per mole of atoms. The value obtained for the density of states at the Fermi level is 3.60 states/eV per cell.

---

[2]
Here is a relaxed structure of NbSnOs from the Alexandria database. Energies are from PBE.

extended XYZ file:
```
12
Lattice="-1.8107 1.2690 3.7246 -2.7546 -0.0600 -1.3187 -1.7708 -15.4467 4.4020" Properties=species:S:1:pos:R:3 pbc="T T T"
Os -4.0073 -14.4395 5.4902
Nb -0.1471 -1.2836 0.3658
Os -1.7446 -6.6862 3.9486
Sn -2.1024 -6.3549 1.1431
Sn -1.6105 -14.0483 4.0035
Nb -2.4099 -9.0369 1.9075
Sn -2.5431 -1.6676 1.8505
Nb -3.7215 -11.9468 4.7798
Os -1.3184 -11.5008 3.2775
Nb -1.4588 -4.1934 3.2382
Os -1.8104 -3.8074 0.4172
Sn -2.0512 -9.3610 4.7108
```

Output
Its space group is Amm2. Its theoretical density is 12.48 g cm⁻³. The energy is -100.68 eV per cell. As for the crystal system: orthorhombic. The calculation puts the formation energy from the elements at 4 kJ per mole of atoms. The value obtained for the density of states at the Fermi level is 5.25 states/eV per cell.

---

[3]
Here is a relaxed structure of NbSnOs from the Alexandria database. Energies are from PBE.

extended XYZ file:
```
6
Lattice="-1.7719 -1.3823 -2.2212 2.6162 -0.9443 -1.4993 -0.4515 -8.7609 8.0596" Properties=species:S:1:pos:R:3 pbc="T T T"
Nb -0.0088 -2.9681 1.8541
Sn -0.0257 -8.6920 5.4297
Nb 0.4016 -8.1194 2.4850
Sn 0.4185 -2.3954 -1.0906
Os -0.0169 -5.7318 3.5805
Os 0.4098 -5.3557 0.7586
```

Output
Its space group is I4/mmm. Its theoretical density is 11.42 g cm⁻³. The energy is -50.45 eV per cell. As for the crystal system: tetragonal. The calculation puts the formation energy from the elements at 2 kJ per mole of atoms. The value obtained for the density of states at the Fermi level is 3.24 states/eV per cell.

---

[4]
Here is a relaxed structure of Nb2SnOs from the Alexandria database. Energies are from PBE.

extended XYZ file:
```
4
Lattice="-0.9801 -1.2418 -3.5574 2.7731 -0.8910 -2.5834 0.6166 -6.8083 0.0764" Properties=species:S:1:pos:R:3 pbc="T T T"
Sn 1.2048 -4.4706 -3.0322
Nb 0.6013 -1.8861 -1.6377
Nb 1.8083 -7.0551 -4.4266
Os 0.0000 0.0000 0.0000
```

Output
Its space group is R-3m. Its theoretical density is 9.69 g cm⁻³. The energy is -33.93 eV per cell. As for the crystal system: trigonal. The calculation puts the formation energy from the elements at 35 kJ per mole of atoms. The value obtained for the density of states at the Fermi level is 3.01 states/eV per cell.

---

[5]
Here is a relaxed structure of NbSnOs from the Alexandria database. Energies are from PBE.

extended XYZ file:
```
6
Lattice="4.2015 0.0000 0.0192 0.0000 4.1296 0.0000 -2.0724 0.0000 6.2281" Properties=species:S:1:pos:R:3 pbc="T T T"
Sn 2.1367 1.0232 1.2191
Nb 2.1242 1.0233 4.9862
Os 2.1250 3.0877 3.0591
Sn 0.0183 3.0881 5.0489
Nb 0.0307 3.0881 1.2809
Os 0.0295 1.0230 3.2086
```

Output
Its space group is P2_1/m. Its theoretical density is 12.33 g cm⁻³. The energy is -50.34 eV per cell. As for the crystal system: monoclinic. The calculation puts the formation energy from the elements at 4 kJ per mole of atoms. The value obtained for the density of states at the Fermi level is 4.33 states/eV per cell.

---

[6]
Here is a relaxed structure of NbSnOs from the Alexandria database. Energies are from PBE.

extended XYZ file:
```
6
Lattice="-0.2502 -4.4860 4.0265 2.6483 1.0924 1.3816 -3.2433 4.5520 2.6180" Properties=species:S:1:pos:R:3 pbc="T T T"
Sn -0.2989 -0.4864 0.9574
Sn 0.6142 -1.8821 3.9716
Os -1.6695 -0.2272 3.3800
Nb -1.2201 0.0139 5.9887
Nb -1.1159 2.2946 3.9856
Os -1.5220 1.9561 1.3709
```

Output
Its space group is Pm. Its theoretical density is 11.62 g cm⁻³. The energy is -50.59 eV per cell. As for the crystal system: monoclinic. The calculation puts the formation energy from the elements at 0 kJ per mole of atoms. The value obtained for the density of states at the Fermi level is 2.59 states/eV per cell.

---

[7]
Here is a relaxed structure of NbSn2Os from the Alexandria database. Energies are from PBE.

extended XYZ file:
```
8
Lattice="-3.6606 1.8143 0.3229 -0.4111 -0.1040 -4.0763 -6.3540 -7.9746 -1.2159" Properties=species:S:1:pos:R:3 pbc="T T T"
Sn -6.2897 -5.3389 -2.2933
Os -6.0252 -2.6525 -1.3848
Nb -2.0359 0.8552 -1.8767
Sn -3.9512 -0.8610 -0.6096
Sn -8.3309 -4.4850 -4.2222
Os 0.0000 0.0000 0.0000
Sn -2.2796 -1.8435 -2.8134
Nb -4.4005 -3.6117 -3.5844
```

Output
Its space group is I-42d. Its theoretical density is 10.45 g cm⁻³. The energy is -53.98 eV per cell. As for the crystal system: tetragonal. The calculation puts the formation energy from the elements at 56 kJ per mole of atoms. The value obtained for the density of states at the Fermi level is 10.31 states/eV per cell.

---

[8]
Here is a relaxed structure of NbSn3Os from the Alexandria database. Energies are from PBE.

extended XYZ file:
```
5
Lattice="5.3088 0.0000 0.0000 0.0000 5.3088 0.0000 0.0000 0.0000 5.3088" Properties=species:S:1:pos:R:3 pbc="T T T"
Nb 0.0000 0.0000 0.0000
Sn 2.6544 0.0000 0.0000
Sn 0.0000 2.6544 0.0000
Os 2.6544 2.6544 2.6544
Sn 0.0000 0.0000 2.6544
```

Output
Its space group is Pm-3m. Its theoretical density is 7.09 g cm⁻³. The energy is -25.86 eV per cell. As for the crystal system: cubic. The calculation puts the formation energy from the elements at 144 kJ per mole of atoms. The value obtained for the density of states at the Fermi level is 8.36 states/eV per cell.

---

[9]
Here is a relaxed structure of NbSnOs from the Alexandria database. Energies are from PBE.

extended XYZ file:
```
3
Lattice="2.9960 0.0000 0.0000 0.0000 4.5368 0.0000 0.0000 -2.2684 3.9289" Properties=species:S:1:pos:R:3 pbc="T T T"
Sn 0.4990 2.2684 1.3096
Nb 1.9972 0.0000 2.6193
Os 0.4998 0.0000 0.0000
```

Output
Its space group is P-6m2. Its theoretical density is 12.50 g cm⁻³. The energy is -25.12 eV per cell. As for the crystal system: hexagonal. The calculation puts the formation energy from the elements at 6 kJ per mole of atoms. The value obtained for the density of states at the Fermi level is 1.58 states/eV per cell.

---

[10]
Here is a relaxed structure of NbTcSnOs2 from the Alexandria database. Energies are from PBE.

extended XYZ file:
```
5
Lattice="-1.8439 1.9808 -3.8924 -4.7284 -1.0889 1.6859 -0.1750 4.1882 2.2142" Properties=species:S:1:pos:R:3 pbc="T T T"
Sn -2.3642 -0.5444 0.8429
Os -0.9220 0.9904 -1.9462
Tc -3.3737 2.5400 0.0039
Nb 0.0000 0.0000 0.0000
Os -0.0875 2.0941 1.1071
```

Output
Its space group is P4/mmm. Its theoretical density is 9.93 g cm⁻³. The energy is -36.18 eV per cell. As for the crystal system: tetragonal. The calculation puts the formation energy from the elements at 207 kJ per mole of atoms. The value obtained for the density of states at the Fermi level is 6.66 states/eV per cell.

---

[11]
Here is a relaxed structure of NbTcSnOs from the Alexandria database. Energies are from PBE.

extended XYZ file:
```
4
Lattice="-0.5895 1.6993 -4.1723 0.5522 -2.6658 -3.6376 -3.6031 -1.2452 -2.4719" Properties=species:S:1:pos:R:3 pbc="T T T"
Sn -0.9101 -0.5529 -2.5705
Os -1.8202 -1.1059 -5.1409
Tc 0.0000 0.0000 0.0000
Nb -2.7303 -1.6588 -7.7114
```

Output
Its space group is F-43m. Its theoretical density is 12.51 g cm⁻³. The energy is -36.14 eV per cell. As for the crystal system: cubic. The calculation puts the formation energy from the elements at -11 kJ per mole of atoms. The value obtained for the density of states at the Fermi level is 0.05 states/eV per cell.

---

[12]
Here is a relaxed structure of ZrNbSnOs2 from the Alexandria database. Energies are from PBE.

extended XYZ file:
```
5
Lattice="-4.1719 -0.6829 2.1812 -0.9519 -3.9620 -3.0609 2.1059 -2.9131 3.1158" Properties=species:S:1:pos:R:3 pbc="T T T"
Os -2.0860 -0.3414 1.0906
Os 1.0529 -1.4566 1.5579
Zr -1.5090 -3.7790 1.1181
Nb 0.0000 0.0000 0.0000
Sn -0.4759 -1.9810 -1.5305
```

Output
Its space group is P4/mmm. Its theoretical density is 9.84 g cm⁻³. The energy is -38.29 eV per cell. As for the crystal system: tetragonal. The calculation puts the formation energy from the elements at 131 kJ per mole of atoms. The value obtained for the density of states at the Fermi level is 7.04 states/eV per cell.

---

[13]
Here is a relaxed structure of Zr2NbSnOs from the Alexandria database. Energies are from PBE.

extended XYZ file:
```
5
Lattice="-1.6046 -3.7861 2.8900 -1.2481 -2.5951 -4.0927 4.5951 -2.0331 -0.1122" Properties=species:S:1:pos:R:3 pbc="T T T"
Nb 0.8712 -4.2071 -0.6575
Zr -0.8023 -1.8930 1.4450
Os 0.0000 0.0000 0.0000
Sn -0.6241 -1.2975 -2.0464
Zr 2.2975 -1.0165 -0.0561
```

Output
Its space group is P4/mmm. Its theoretical density is 7.68 g cm⁻³. The energy is -38.68 eV per cell. As for the crystal system: tetragonal. The calculation puts the formation energy from the elements at 72 kJ per mole of atoms. The value obtained for the density of states at the Fermi level is 6.14 states/eV per cell.